Entry 1:
Below is crystalline SrMoCI2 at its relaxed geometry, with properties calculated at the PBE-GGA level.

Values from the calculation:
E above lowest polymorph: 0.000 eV/f.u.
formation energy without anion corrections: 0.6254 eV per atom
electronic total energy: -4.342 eV/atom
spin magnetization: 0.0 μB/cell

Cell: 5.503 4.056 5.503 Å, 90.00 90.00 90.00°
Fractional positions:
1 I 0.000 0.000 0.500
2 I 0.500 0.000 0.000
3 Sr 0.500 0.500 0.500
4 Mo 0.000 0.500 0.000
5 C 0.000 0.000 0.000

***

Entry 2:
Below is crystalline Zn2PCl at its relaxed geometry, with properties calculated at the PBE-GGA level.

Values from the calculation:
E above lowest polymorph: 2.517 eV/f.u.
formation energy without anion corrections: 0.1008 eV per atom
electronic total energy: -2.350 eV/atom
spin magnetization: 0.0 μB/cell

Cell: 4.756 4.756 3.000 Å, 90.00 90.00 89.99°
Fractional positions:
1 Cl 0.500 0.000 0.500
2 P 0.000 0.500 0.500
3 Zn 0.000 0.000 0.000
4 Zn 0.500 0.500 0.000

***

Entry 3:
Below is crystalline Na2MgCd5Ag2 at its relaxed geometry, with properties calculated at the PBE-GGA level.

Values from the calculation:
electronic total energy: -1.523 eV/atom
spin magnetization: 0.0 μB/cell

Cell: 4.525 10.119 10.119 Å, 90.00 90.00 90.00°
Fractional positions:
1 Na 0.000 0.675 0.175
2 Na 0.000 0.325 0.825
3 Na 0.000 0.175 0.325
4 Na 0.000 0.825 0.675
5 Mg 0.000 0.000 0.000
6 Mg 0.000 0.500 0.500
7 Cd 0.500 0.201 0.073
8 Cd 0.500 0.799 0.927
9 Cd 0.500 0.073 0.799
10 Cd 0.500 0.701 0.427
11 Cd 0.500 0.927 0.201
12 Cd 0.500 0.299 0.573
13 Cd 0.500 0.573 0.701
14 Cd 0.500 0.427 0.299
15 Cd 0.500 0.500 0.000
16 Cd 0.500 0.000 0.500
17 Ag 0.000 0.120 0.620
18 Ag 0.000 0.880 0.380
19 Ag 0.000 0.620 0.880
20 Ag 0.000 0.380 0.120

***

Entry 4:
Below is crystalline Ca4PSe2Cl at its relaxed geometry, with properties calculated at the PBE-GGA level.

Values from the calculation:
formation energy without anion corrections: -1.8490 eV per atom
electronic total energy: -4.628 eV/atom
spin magnetization: 0.0 μB/cell

Cell: 5.867 5.867 7.318 Å, 113.63 113.63 90.00°
Fractional positions:
1 Ca 0.937 0.437 0.000
2 Ca 0.437 0.937 0.000
3 Ca 0.167 0.167 0.461
4 Ca 0.707 0.707 0.539
5 P 0.937 0.937 0.000
6 Se 0.187 0.687 0.500
7 Se 0.687 0.187 0.500
8 Cl 0.437 0.437 0.000

***

Entry 5:
Below is crystalline MgHg2Cl at its relaxed geometry, with properties calculated at the PBE-GGA level.

Values from the calculation:
E above lowest polymorph: 1.119 eV/f.u.
formation energy without anion corrections: -0.3255 eV per atom
electronic total energy: -1.337 eV/atom
spin magnetization: 0.0 μB/cell

Cell: 8.122 8.122 8.122 Å, 27.67 27.67 27.67°
Fractional positions:
1 Cl 0.750 0.750 0.750
2 Hg 0.995 0.995 0.995
3 Hg 0.505 0.505 0.505
4 Mg 0.250 0.250 0.250

***

Entry 6:
Below is crystalline Ba6AsI3O2 at its relaxed geometry, with properties calculated at the PBE-GGA level.

Values from the calculation:
formation energy without anion corrections: -1.6905 eV per atom
electronic total energy: -4.253 eV/atom
spin magnetization: 0.0 μB/cell

Cell: 7.563 7.563 8.724 Å, 98.37 98.37 120.01°
Fractional positions:
1 Ba 0.937 0.573 0.812
2 Ba 0.697 0.697 0.185
3 Ba 0.063 0.427 0.188
4 Ba 0.573 0.937 0.812
5 Ba 0.303 0.303 0.815
6 Ba 0.427 0.063 0.188
7 As 0.000 0.000 0.000
8 I 0.158 0.842 0.500
9 I 0.842 0.158 0.500
10 I 0.500 0.500 0.500
11 O 0.332 0.668 0.000
12 O 0.668 0.332 0.000

***

Entry 7:
Below is crystalline Li3Mg3Sn2 at its relaxed geometry, with properties calculated at the PBE-GGA level.

Values from the calculation:
electronic total energy: -2.584 eV/atom
spin magnetization: 0.0 μB/cell

Cell: 5.472 5.472 5.472 Å, 90.07 90.07 89.93°
Fractional positions:
1 Li 0.249 0.751 0.500
2 Li 0.500 0.249 0.249
3 Li 0.751 0.500 0.751
4 Mg 0.250 0.750 0.000
5 Mg 0.000 0.250 0.250
6 Mg 0.750 0.000 0.750
7 Sn 0.255 0.255 0.745
8 Sn 0.745 0.745 0.255

***

Entry 8:
Below is crystalline ReSn at its relaxed geometry, with properties calculated at the PBE-GGA level.

Values from the calculation:
E above lowest polymorph: 0.566 eV/f.u.
electronic total energy: -7.588 eV/atom
spin magnetization: 0.0 μB/cell

Cell: 3.023 4.689 15.678 Å, 90.00 90.00 90.00°
Fractional positions:
1 Re 0.000 0.925 0.817
2 Re 0.500 0.075 0.683
3 Re 0.500 0.075 0.317
4 Re 0.000 0.925 0.183
5 Re 0.000 0.320 0.500
6 Re 0.500 0.680 0.000
7 Sn 0.000 0.572 0.659
8 Sn 0.500 0.428 0.841
9 Sn 0.500 0.428 0.159
10 Sn 0.000 0.572 0.341
11 Sn 0.000 0.166 0.000
12 Sn 0.500 0.834 0.500

***

Number 1: volume 24.57 Å³/atom. Number 2: volume 16.96 Å³/atom. Number 3: volume 23.17 Å³/atom. Number 4: volume 25.94 Å³/atom. Number 5: volume 25.50 Å³/atom. Number 6: volume 34.45 Å³/atom. Number 7: volume 20.49 Å³/atom. Number 8: volume 18.52 Å³/atom.